1.
SrPuZrO6 | PBE | relaxed Values from VASP.

final energy	-8.9573	eV per atom
density of states at the Fermi level	7.9	states/eV/f.u.
formation energy from raw total energies	-282.0	kJ per mole of atoms
magnetization	4.0	Bohr magnetons per cell
calculated density	5.93	g cm⁻³

Geometry as Quantum ESPRESSO input:
```
&SYSTEM
  ibrav = 0, nat = 18, ntyp = 4
/
ATOMIC_SPECIES
Sr 87.62 Sr.upf
Pu 244.00 Pu.upf
Zr 91.22 Zr.upf
O 16.00 O.upf
CELL_PARAMETERS angstrom
5.6630 0.0000 0.0000
-2.8315 4.9043 0.0000
0.0000 0.0000 10.4705
ATOMIC_POSITIONS angstrom
Sr 0.0000 0.0000 0.0000
Sr 0.0000 0.0000 5.2353
Pu 2.8315 1.6348 2.6176
Pu 0.0000 3.2695 7.8529
Zr 0.0000 3.2695 2.6176
Zr 2.8315 1.6348 7.8529
O 1.8142 3.0732 1.5204
O 4.5859 1.7965 1.5204
O -0.7371 4.8698 6.7557
O -1.7544 3.1078 8.9501
O 1.0771 1.7965 3.7148
O 3.8488 3.0732 3.7148
O 0.7371 4.8698 8.9501
O 3.5686 0.0345 3.7148
O -1.0173 1.8310 6.7557
O 2.0944 0.0345 1.5204
O 1.7544 3.1078 6.7557
O 1.0173 1.8310 8.9501
```

=====

2.
PuTa4O12 | PBE | relaxed Values from VASP.

final energy	-9.9594	eV per atom
density of states at the Fermi level	6.6	states/eV/f.u.
formation energy from raw total energies	-272.8	kJ per mole of atoms
magnetization	4.0	Bohr magnetons per cell
calculated density	8.08	g cm⁻³

Geometry as Quantum ESPRESSO input:
```
&SYSTEM
  ibrav = 0, nat = 17, ntyp = 3
/
ATOMIC_SPECIES
Pu 244.00 Pu.upf
Ta 180.95 Ta.upf
O 16.00 O.upf
CELL_PARAMETERS angstrom
6.3459 -0.0169 -2.3431
-3.1345 5.5650 -2.2286
-0.0516 0.0169 6.7645
ATOMIC_POSITIONS angstrom
Pu -1.5931 2.7909 2.2679
Ta 3.1729 -0.0084 -1.1715
Ta -1.5673 2.7825 -1.1143
Ta -0.0258 0.0084 3.3822
Ta 1.5799 2.7825 1.0964
O -1.1045 4.1170 4.2205
O -2.0674 4.1164 0.3036
O 0.4156 4.1164 2.0478
O 1.5455 0.3775 4.4907
O 2.9413 2.7889 2.5037
O 0.4095 1.4648 2.0653
O 2.7502 4.1002 0.1275
O 1.6142 5.1875 -2.2979
O 0.2184 2.7761 -0.3109
O 2.7441 1.4485 0.1450
O 5.2271 1.4485 1.8892
O 4.2642 1.4479 -2.0277
```

=====

3.
Pu4Ta6O19 | PBE | relaxed Values from VASP.

final energy	-10.4301	eV per atom
density of states at the Fermi level	37.8	states/eV/f.u.
formation energy from raw total energies	-265.6	kJ per mole of atoms
magnetization	23.3	Bohr magnetons per cell
calculated density	9.61	g cm⁻³

Geometry as Quantum ESPRESSO input:
```
&SYSTEM
  ibrav = 0, nat = 29, ntyp = 3
/
ATOMIC_SPECIES
Pu 244.00 Pu.upf
Ta 180.95 Ta.upf
O 16.00 O.upf
CELL_PARAMETERS angstrom
-2.8226 6.6385 -3.6797
-6.1600 -4.0642 3.3336
5.2587 2.1432 5.7731
ATOMIC_POSITIONS angstrom
Pu 3.7396 1.5241 4.1054
Pu -4.3806 -2.8901 2.3706
Pu -1.0758 1.3628 1.5678
Pu -2.0072 4.7208 -2.6167
Ta 0.3696 1.9966 5.2583
Ta -4.0936 2.7209 0.1688
Ta -1.9173 -0.5402 4.4969
Ta -1.8067 5.2577 0.9302
Ta -4.7948 0.6403 2.8935
Ta 1.0709 4.0772 2.5336
O 1.5772 5.6854 1.3554
O 0.8589 3.0963 0.7381
O -3.1671 0.9077 -0.1220
O -5.8156 1.6667 -0.2240
O -0.5835 -1.2436 5.8959
O -0.3178 -0.6773 3.2109
O 0.0000 0.0000 0.0000
O 0.2313 2.4240 3.2880
O 1.6877 5.2558 4.0295
O -4.5767 2.4717 2.1151
O -5.3008 4.3136 0.0531
O -4.7902 -0.7164 1.4216
O -2.2844 3.2983 0.8018
O 1.6392 0.5369 4.7439
O -1.5019 1.2863 5.2554
O -0.6267 4.9651 -0.6601
O -3.2658 -0.8551 5.9424
O -2.7884 0.4109 2.9659
O -0.7671 4.9142 2.6061
```

=====

4.
Pu2TaO8 | PBE | relaxed Values from VASP.

final energy	-9.7491	eV per atom
density of states at the Fermi level	9.6	states/eV/f.u.
formation energy from raw total energies	-237.3	kJ per mole of atoms
magnetization	5.0	Bohr magnetons per cell
calculated density	9.55	g cm⁻³

Geometry as Quantum ESPRESSO input:
```
&SYSTEM
  ibrav = 0, nat = 11, ntyp = 3
/
ATOMIC_SPECIES
Pu 244.00 Pu.upf
Ta 180.95 Ta.upf
O 16.00 O.upf
CELL_PARAMETERS angstrom
3.7694 0.0000 0.0000
-1.8847 5.5393 -1.0396
0.0000 0.0514 6.6267
ATOMIC_POSITIONS angstrom
Pu 1.8847 2.7110 4.3852
Pu 0.0000 2.8796 1.2019
Ta 1.8847 0.0000 0.0000
O 0.0000 4.8837 0.8464
O 1.8847 2.1454 0.0963
O 1.8847 3.3935 2.2613
O 1.8847 4.7976 4.7745
O 0.0000 2.1971 3.3258
O 0.0000 3.4453 5.4908
O 1.8847 0.7070 4.7407
O 0.0000 0.7930 0.8126
```

=====

5.
Pu6TaO12 | PBE | relaxed Values from VASP.

final energy	-11.3387	eV per atom
density of states at the Fermi level	34.0	states/eV/f.u.
formation energy from raw total energies	-295.0	kJ per mole of atoms
magnetization	29.0	Bohr magnetons per cell
calculated density	11.05	g cm⁻³

Geometry as Quantum ESPRESSO input:
```
&SYSTEM
  ibrav = 0, nat = 19, ntyp = 3
/
ATOMIC_SPECIES
Pu 244.00 Pu.upf
Ta 180.95 Ta.upf
O 16.00 O.upf
CELL_PARAMETERS angstrom
-2.6032 -0.8335 6.0039
-3.9436 -4.0781 -3.3668
5.2313 -3.9698 0.6262
ATOMIC_POSITIONS angstrom
Pu -3.1433 -5.6684 1.5501
Pu -2.0287 -2.2793 2.6998
Pu -1.1710 -3.7694 -1.0099
Pu 1.8279 -3.2130 1.7132
Pu 0.7132 -6.6021 0.5635
Pu -0.1445 -5.1120 4.2733
Ta 0.0000 0.0000 0.0000
O -2.2239 -4.6100 3.3027
O -1.3649 -5.9364 0.0390
O 1.2258 -5.4083 2.5207
O 0.9085 -4.2714 -0.0394
O 0.0495 -2.9450 3.2244
O -2.5412 -3.4731 0.7427
O -2.3960 -5.1704 -2.6441
O 2.0195 -6.5867 -1.5406
O -5.2975 -4.5385 1.0845
O 1.0806 -3.7110 5.9074
O -3.3349 -2.2946 4.8039
O 3.9820 -4.3429 2.1788
```

=====

6.
PuTaO6 | PBE | relaxed Values from VASP.

final energy	-9.4222	eV per atom
formation energy from raw total energies	-234.5	kJ per mole of atoms
magnetization	1.0	Bohr magnetons per cell
calculated density	6.87	g cm⁻³

Geometry as Quantum ESPRESSO input:
```
&SYSTEM
  ibrav = 0, nat = 8, ntyp = 3
/
ATOMIC_SPECIES
Pu 244.00 Pu.upf
Ta 180.95 Ta.upf
O 16.00 O.upf
CELL_PARAMETERS angstrom
-3.8899 3.1541 2.5556
-0.4530 -0.1382 5.6023
1.5586 4.4481 3.0485
ATOMIC_POSITIONS angstrom
Pu -1.3922 3.7320 5.6032
Ta 0.0000 0.0000 0.0000
O -2.8097 3.5628 7.0195
O -1.0464 1.7534 5.7119
O 0.0254 3.9011 4.1869
O -0.0087 4.0540 7.0275
O -1.7379 5.7105 5.4946
O -2.7756 3.4099 4.1790
```

=====

7.
PuTaO4 | PBE | relaxed Values from VASP.

final energy	-10.6414	eV per atom
density of states at the Fermi level	7.5	states/eV/f.u.
formation energy from raw total energies	-286.7	kJ per mole of atoms
magnetization	20.0	Bohr magnetons per cell
calculated density	10.16	g cm⁻³

Geometry as Quantum ESPRESSO input:
```
&SYSTEM
  ibrav = 0, nat = 24, ntyp = 3
/
ATOMIC_SPECIES
Pu 244.00 Pu.upf
Ta 180.95 Ta.upf
O 16.00 O.upf
CELL_PARAMETERS angstrom
5.4441 0.0000 0.0000
0.0000 7.6283 -1.2038
0.0000 -0.0806 7.7100
ATOMIC_POSITIONS angstrom
Pu 3.9394 2.6910 4.2357
Pu 4.2267 2.7312 0.3807
Pu 1.2174 4.8165 6.1255
Pu 1.5047 4.8568 2.2705
Ta 1.2619 1.1764 6.0291
Ta 1.4602 1.2167 2.1741
Ta 3.9839 6.3311 4.3321
Ta 4.1823 6.3713 0.4770
O 4.9591 0.3880 5.3169
O 3.2071 0.4283 1.4619
O 1.9247 1.2416 4.1023
O 0.7974 1.2819 0.2473
O 2.6785 2.4996 6.3106
O 0.0385 2.8559 5.9656
O 0.0436 2.5399 2.4556
O 2.6836 2.8962 2.1106
O 2.7605 4.6516 4.3956
O 5.4005 5.0079 4.0506
O 5.4057 4.6918 0.5406
O 2.7656 5.0482 0.1956
O 4.6468 6.2658 6.2589
O 3.5194 6.3061 2.4039
O 2.2370 7.1195 5.0443
O 0.4850 7.1598 1.1893
```

=====

8.
PuTaTiO6 | PBE | relaxed Values from VASP.

final energy	-10.0771	eV per atom
density of states at the Fermi level	7.8	states/eV/f.u.
formation energy from raw total energies	-288.0	kJ per mole of atoms
magnetization	10.0	Bohr magnetons per cell
calculated density	8.00	g cm⁻³

Geometry as Quantum ESPRESSO input:
```
&SYSTEM
  ibrav = 0, nat = 18, ntyp = 4
/
ATOMIC_SPECIES
Pu 244.00 Pu.upf
Ta 180.95 Ta.upf
Ti 47.87 Ti.upf
O 16.00 O.upf
CELL_PARAMETERS angstrom
5.2251 0.0000 0.0000
-2.6126 4.5251 0.0000
0.0000 0.0000 9.9925
ATOMIC_POSITIONS angstrom
Pu 0.0000 0.0000 0.0000
Pu 0.0000 0.0000 4.9962
Ta 0.0000 3.0167 2.4981
Ta 2.6126 1.5084 7.4944
Ti 2.6126 1.5084 2.4981
Ti 0.0000 3.0167 7.4944
O 1.6777 2.8889 1.4084
O 4.2756 1.6277 1.4084
O -0.7281 4.5166 6.4046
O -1.6630 2.8974 8.5841
O 0.9495 1.6277 3.5879
O 3.5475 2.8889 3.5879
O 0.7281 4.5166 8.5841
O 3.3407 0.0085 3.5879
O -0.9349 1.6362 6.4046
O 1.8844 0.0085 1.4084
O 1.6630 2.8974 6.4046
O 0.9349 1.6362 8.5841
```

=====

9.
PuTaTl2O6 | PBE | relaxed Values from VASP.

final energy	-8.2098	eV per atom
density of states at the Fermi level	7.9	states/eV/f.u.
formation energy from raw total energies	-206.8	kJ per mole of atoms
magnetization	6.0	Bohr magnetons per cell
calculated density	10.37	g cm⁻³

Geometry as Quantum ESPRESSO input:
```
&SYSTEM
  ibrav = 0, nat = 20, ntyp = 4
/
ATOMIC_SPECIES
Pu 244.00 Pu.upf
Ta 180.95 Ta.upf
Tl 204.38 Tl.upf
O 16.00 O.upf
CELL_PARAMETERS angstrom
-2.1328 -2.1372 5.1244
0.8592 -5.5503 -1.9573
7.7599 0.0543 3.2524
ATOMIC_POSITIONS angstrom
Pu 4.5243 -4.1351 0.1584
Pu -0.8515 -2.4566 2.0727
Ta 3.0283 -2.4285 3.6992
Ta 0.6445 -4.1632 -1.4681
Tl 1.5179 -5.2175 1.9074
Tl 6.0347 -1.3471 1.9499
Tl 5.3979 -5.1904 3.5336
Tl 2.1548 -1.3743 0.3237
O 1.1627 -2.4415 2.9173
O 4.8938 -2.4154 4.4812
O 2.5101 -4.1503 -0.6863
O 6.5388 -4.1221 1.0023
O 3.3347 -0.5780 2.9372
O 2.3081 -1.6067 5.4037
O 3.7483 -3.2496 1.9949
O 2.7216 -4.2785 4.4617
O -1.1817 -4.4506 2.8938
O -0.0756 -3.3422 0.2362
O 0.3380 -6.0138 -0.7061
O -0.7682 -7.1223 1.9518
```